La3S3O2 | PBE-GGA | relaxed

abc: 3.9092 4.2649 20.9157
angles: 90.00 90.00 90.00
With the nearest neighbours (Å) after each atom.
Space group Immm (No. 71)
Symmetry-distinct sites (fractional):
La (0.0000, 0.0000, 0.0000) [2 per cell]  8 S 2.89-3.07
La (0.0000, 0.5000, 0.1912) [4 per cell]  4 O 2.33-2.44
S (0.0000, 0.0000, 0.5000) [2 per cell]  4 La 2.89, 4 S 3.18
S (0.0000, 0.5000, 0.3870) [4 per cell]  6 La 3.07-3.32, 2 S 3.18
O (0.0000, 0.0000, 0.2482) [4 per cell]  4 La 2.33-2.44

Computed properties:
For the size of the total moment, the calculation gives 0.122 μB/atom. The total energy comes out at -7.12 eV/atom.